(1)
VASP calculation (PBE-GGA) on an optimized crystal structure of YThInPd.

## Properties
Energy relative to the elements = -449 meV per atom

a = 7.4436 Å, b = 7.4436 Å, c = 7.4436 Å
α = 90.00°, β = 90.00°, γ = 90.00°
Last column: nearest neighbours and their distance in Å.
Space group F-43m (No. 216)
Unique sites:
Y: 0.0000 0.0000 0.0000 [4 per cell]  4 In 3.22, 4 Pd 3.22
Th: 0.0000 0.0000 0.5000 [4 per cell]  4 In 3.22, 4 Pd 3.22
In: 0.2500 0.2500 0.2500 [4 per cell]  4 Th 3.22, 4 Y 3.22
Pd: 0.2500 0.2500 0.7500 [4 per cell]  4 Th 3.22, 4 Y 3.22

***

(2)
VASP calculation (PBE-GGA) on an optimized crystal structure of Ti12In3Pd.

## Properties
Energy relative to the elements = -141 meV per atom

a = 4.1344 Å, b = 4.1344 Å, c = 16.4689 Å
α = 90.00°, β = 90.00°, γ = 90.00°
Last column: nearest neighbours and their distance in Å.
Space group P4/mmm (No. 123)
Unique sites:
Ti: 0.0000 0.0000 0.0000 [1 per cell]  8 Ti 2.84, 4 Pd 2.92
Ti: 0.0000 0.0000 0.2437 [2 per cell]  4 In 2.92, 8 Ti 2.92-2.97
Ti: 0.0000 0.0000 0.5000 [1 per cell]  4 In 2.92, 8 Ti 2.94
Ti: 0.0000 0.5000 0.1181 [4 per cell]  2 Pd 2.84, 8 Ti 2.84-2.92, 2 In 2.94
Ti: 0.0000 0.5000 0.3734 [4 per cell]  8 Ti 2.92-2.97, 4 In 2.94-2.96
In: 0.5000 0.5000 0.2449 [2 per cell]  12 Ti 2.92-2.96
In: 0.5000 0.5000 0.5000 [1 per cell]  12 Ti 2.92-2.94
Pd: 0.5000 0.5000 0.0000 [1 per cell]  12 Ti 2.84-2.92

***

(3)
VASP calculation (PBE-GGA) on an optimized crystal structure of TiIn2Pd2.

## Properties
Energy relative to the elements = -253 meV per atom
ΔE to the lowest computed polymorph = 17.8 kJ per mole of atoms

a = 7.7760 Å, b = 7.7760 Å, c = 3.1021 Å
α = 90.00°, β = 90.00°, γ = 90.00°
Last column: nearest neighbours and their distance in Å.
Space group P4/mbm (No. 127)
Unique sites:
Ti: 0.0000 0.0000 0.0000 [2 per cell]  4 In 3.01, 2 Ti 3.10, 8 Pd 3.31
In: 0.1395 0.3605 0.0000 [4 per cell]  6 Pd 2.69-2.81, 2 Ti 3.01
Pd: 0.1604 0.6604 0.5000 [4 per cell]  6 In 2.69-2.81

***

Number 1: calculated volume 25.78 Å³/atom. Number 2: calculated volume 17.59 Å³/atom. Number 3: calculated volume 18.76 Å³/atom.